(1)
Entry from Alexandria: Pu2MnIn after structural relaxation (GGA-PBE).

- energy of formation from the pure elements (meV per atom) = 332
- space-group type = R-3m, No. 166
- polymorph energy (0 for the lowest one) (meV/atom) = 402

Unit cell a=3.229 b=3.229 c=10.808 alpha=81.41 beta=81.41 gamma=60.00
Site moments in Bohr magnetons follow the coordinates.
Sites, in units of the cell vectors:
In 0.000 0.000 0.000  -0.01
Mn 0.500 0.500 0.500  -2.38
Pu 0.102 0.102 0.694  5.52
Pu 0.898 0.898 0.306  5.52

---

(2)
Entry from Alexandria: TbUTeSe2 after structural relaxation (GGA-PBE).

- raw formation energy (meV/atom) = -967
- space-group type = I4mm, No. 107

Unit cell a=4.582 b=4.582 c=7.607 alpha=107.53 beta=107.53 gamma=90.00
Site moments in Bohr magnetons follow the coordinates.
Sites, in units of the cell vectors:
Tb 0.869 0.869 0.738  0.19
U 0.128 0.128 0.257  2.63
Te 0.503 0.503 0.007  -0.05
Se 0.750 0.250 0.499  -0.07
Se 0.250 0.750 0.499  -0.07

---

(3)
Entry from Alexandria: Sc2GeSe2 after structural relaxation (GGA-PBE).

- raw formation energy (meV/atom) = -1024
- space-group type = P4/mbm, No. 127

Unit cell a=7.532 b=7.532 c=3.582 alpha=90.00 beta=90.00 gamma=90.00
Sites, in units of the cell vectors:
Sc 0.340 0.840 0.000
Sc 0.840 0.660 0.000
Sc 0.660 0.160 0.000
Sc 0.160 0.340 0.000
Ge 0.000 0.000 0.000
Ge 0.500 0.500 0.000
Se 0.144 0.644 0.500
Se 0.644 0.856 0.500
Se 0.856 0.356 0.500
Se 0.356 0.144 0.500

---

(4)
Entry from Alexandria: LaMnW2 after structural relaxation (GGA-PBE).

- energy of formation from the pure elements (meV per atom) = 1035
- space-group type = P4/mmm, No. 123
- polymorph energy (0 for the lowest one) (meV/atom) = 633

Unit cell a=4.698 b=4.698 c=3.266 alpha=90.00 beta=90.00 gamma=90.00
Site moments in Bohr magnetons follow the coordinates.
Sites, in units of the cell vectors:
La 0.500 0.000 0.500  -0.04
Mn 0.000 0.500 0.500  2.81
W 0.000 0.000 0.000  -0.42
W 0.500 0.500 0.000  -0.42

---

(5)
Entry from Alexandria: NdMg3Zn2 after structural relaxation (GGA-PBE).

- energy of formation from the pure elements (meV per atom) = -177
- space-group type = C2/m, No. 12

Unit cell a=4.520 b=8.585 c=8.118 alpha=116.44 beta=90.00 gamma=105.26
Sites, in units of the cell vectors:
Nd 0.857 0.714 0.936
Nd 0.143 0.286 0.064
Mg 0.312 0.623 0.547
Mg 0.953 0.906 0.624
Mg 0.606 0.212 0.714
Mg 0.394 0.788 0.286
Mg 0.047 0.094 0.376
Mg 0.688 0.377 0.453
Zn 0.480 0.959 0.838
Zn 0.520 0.041 0.162
Zn 0.791 0.581 0.261
Zn 0.209 0.419 0.739

---

(6)
Entry from Alexandria: FeReRh2 after structural relaxation (GGA-PBE).

- energy of formation from the pure elements (meV per atom) = -10
- space-group type = R-3m, No. 166
- polymorph energy (0 for the lowest one) (meV/atom) = 73

Unit cell a=8.802 b=8.802 c=8.802 alpha=17.84 beta=17.84 gamma=17.84
Site moments in Bohr magnetons follow the coordinates.
Sites, in units of the cell vectors:
Fe 0.250 0.250 0.250  2.70
Re 0.750 0.750 0.750  -0.23
Rh 0.999 0.999 0.999  0.08
Rh 0.501 0.501 0.501  0.08

---

no.,electronic total energy (eV per atom)
1,-9.8108
2,-6.1732
3,-5.8736
4,-8.9660
5,-2.1937
6,-8.9132